(1)
A geometry-optimized ScTaB2 structure, computed with PBE-GGA.

Properties
- energy of formation from the pure elements (meV per atom) = -288
- calculated volume (Å³/cell) = 160.6

CIF file:
```
data_ScTaB2
_chemical_formula_sum 'Sc3 Ta3 B6'
_cell_length_a 3.3304
_cell_length_b 3.3304
_cell_length_c 16.7206
_cell_angle_alpha 90.00
_cell_angle_beta 90.00
_cell_angle_gamma 120.00
_symmetry_space_group_name_H-M 'R -3 m'
_symmetry_Int_Tables_number 166
_symmetry_space_group_name_Hall '-R 3 2"'
loop_
_atom_site_label
_atom_site_type_symbol
_atom_site_fract_x
_atom_site_fract_y
_atom_site_fract_z
_atom_site_occupancy
Sc1 Sc 0.0000 0.0000 0.0000 1
Ta1 Ta 0.0000 0.0000 0.5000 1
B1 B 0.0000 0.0000 0.2416 1
```

***

(2)
A geometry-optimized Nd3Ho2PaAs6 structure, computed with PBE-GGA.

Properties
- energy of formation from the pure elements (meV per atom) = -1456
- calculated volume (Å³/cell) = 619.8

CIF file:
```
data_Nd3Ho2PaAs6
_chemical_formula_sum 'Nd6 Ho4 Pa2 As12'
_cell_length_a 7.227
_cell_length_b 12.518
_cell_length_c 7.261
_cell_angle_alpha 90.00
_cell_angle_beta 109.34
_cell_angle_gamma 90.00
_symmetry_space_group_name_H-M 'C 1 2/m 1'
_symmetry_Int_Tables_number 12
_symmetry_space_group_name_Hall '-C 2y'
loop_
_atom_site_label
_atom_site_type_symbol
_atom_site_fract_x
_atom_site_fract_y
_atom_site_fract_z
_atom_site_occupancy
Nd1 Nd 0.000 0.000 0.000 1
Nd2 Nd 0.000 0.332 0.000 1
Ho1 Ho 0.000 0.166 0.500 1
Pa1 Pa 0.000 0.500 0.500 1
As1 As 0.243 0.335 0.737 1
As2 As 0.250 0.000 0.737 1
```

***

(3)
A geometry-optimized Tb2DyHo5In structure, computed with PBE-GGA.

Properties
- energy of formation from the pure elements (meV per atom) = -6
- calculated volume (Å³/cell) = 1118.0

CIF file:
```
data_Tb2DyHo5In
_chemical_formula_sum 'Tb8 Dy4 Ho20 In4'
_cell_length_a 5.326
_cell_length_b 20.093
_cell_length_c 10.447
_cell_angle_alpha 90.00
_cell_angle_beta 90.00
_cell_angle_gamma 90.00
_symmetry_space_group_name_H-M 'C m c 21'
_symmetry_Int_Tables_number 36
_symmetry_space_group_name_Hall 'C 2c -2'
loop_
_atom_site_label
_atom_site_type_symbol
_atom_site_fract_x
_atom_site_fract_y
_atom_site_fract_z
_atom_site_occupancy
Tb1 Tb 0.000 0.116 0.000 1
Tb2 Tb 0.000 0.116 0.419 1
Dy1 Dy 0.000 0.208 0.710 1
Ho1 Ho 0.000 0.012 0.710 1
Ho2 Ho 0.000 0.289 0.011 1
Ho3 Ho 0.000 0.289 0.409 1
Ho4 Ho 0.000 0.383 0.710 1
Ho5 Ho 0.000 0.500 0.459 1
In1 In 0.000 0.404 0.209 1
```

***

(4)
A geometry-optimized NdGa2Pd4 structure, computed with PBE-GGA.

Properties
- energy of formation from the pure elements (meV per atom) = -739
- calculated volume (Å³/cell) = 491.6

CIF file:
```
data_NdGa2Pd4
_chemical_formula_sum 'Nd4 Ga8 Pd16'
_cell_length_a 16.927
_cell_length_b 4.312
_cell_length_c 6.735
_cell_angle_alpha 90.00
_cell_angle_beta 90.00
_cell_angle_gamma 90.00
_symmetry_space_group_name_H-M 'P n m a'
_symmetry_Int_Tables_number 62
_symmetry_space_group_name_Hall '-P 2ac 2n'
loop_
_atom_site_label
_atom_site_type_symbol
_atom_site_fract_x
_atom_site_fract_y
_atom_site_fract_z
_atom_site_occupancy
Nd1 Nd 0.139 0.250 0.077 1
Ga1 Ga 0.062 0.750 0.735 1
Ga2 Ga 0.205 0.250 0.621 1
Pd1 Pd 0.021 0.750 0.140 1
Pd2 Pd 0.059 0.250 0.489 1
Pd3 Pd 0.170 0.750 0.400 1
Pd4 Pd 0.212 0.750 0.816 1
```